A geometry-optimized CoP2F structure. Source: Alexandria via LeMat-Bulk, functional PBE+U.

a = 6.464 Å, b = 6.464 Å, c = 6.464 Å
α = 134.99°, β = 134.99°, γ = 65.55°
Sites, in units of the cell vectors:
Co (0.000, 0.000, 0.000)
Co (0.750, 0.250, 0.500)
P (0.049, 0.625, 0.924)
P (0.375, 0.299, 0.424)
P (0.701, 0.125, 0.076)
P (0.875, 0.951, 0.576)
F (0.250, 0.750, 0.500)
F (0.500, 0.500, 0.000)

Summary:
E: -4.454 eV/atom
energy above the most stable polymorph in this dataset: 0.0000 eV per atom
calculated volume: 133.1 Å³/cell
ρ: 3.49 g/cm3